(1)
Computed, not measured: a relaxed structure of Re2SbIr at the PBE-GGA level of DFT.

Its electronic total energy is -8.9768 eV/atom. Its formation energy from raw total energies is 0.493 eV per atom. The value obtained for the density of states at the Fermi level is 9.54 states/eV/cell. The size of the total moment is 0.000 μB per formula unit.

It has space group I4/mmm (No. 139), with a = 3.997 Å, b = 3.997 Å, c = 8.020 Å, α = 90.00°, β = 90.00° and γ = 90.00°. The asymmetric unit holds Re at (0.000, 0.500, 0.250), Sb at (0.000, 0.000, 0.000) and Ir at (0.000, 0.000, 0.500).

***

(2)
Computed, not measured: a relaxed structure of La2Si2Os at the PBE-GGA level of DFT.

Its electronic total energy is -6.9085 eV/atom. Its formation energy from raw total energies is -0.522 eV per atom. The value obtained for the density of states at the Fermi level is 3.48 states/eV/cell. The size of the total moment is 0.000 μB per formula unit.

It has space group P4/mbm (No. 127), with a = 6.699 Å, b = 6.699 Å, c = 4.724 Å, α = 90.00°, β = 90.00° and γ = 90.00°. The asymmetric unit holds La at (0.179, 0.321, 0.000), Si at (0.130, 0.630, 0.500) and Os at (0.000, 0.000, 0.500).

***

(3)
Computed, not measured: a relaxed structure of NaSr2I2 at the PBE-GGA level of DFT.

Its electronic total energy is -2.3460 eV/atom. Its formation energy from raw total energies is -0.789 eV per atom. The polymorph energy (0 for the lowest one) is 72 meV per atom. The value obtained for the density of states at the Fermi level is 7.11 states/eV/cell. The size of the total moment is 0.000 μB per formula unit.

It has space group P4/mbm (No. 127), with a = 9.722 Å, b = 9.722 Å, c = 4.110 Å, α = 90.00°, β = 90.00° and γ = 90.00°. The asymmetric unit holds Na at (0.000, 0.000, 0.000), Sr at (0.163, 0.337, 0.500) and I at (0.135, 0.635, 0.000).

***

(4)
Computed, not measured: a relaxed structure of Sr3Li5Mg at the PBE-GGA level of DFT.

The formation energy comes out at 0.04 eV per atom. Its electronic total energy is -1.7653 eV/atom. The value obtained for the density of states at the Fermi level is 5.73 states/eV/cell. The size of the total moment is 0.000 μB per formula unit.

It has space group P-62m (No. 189), with a = 8.2055 Å, b = 8.2055 Å, c = 5.0993 Å, α = 90.00°, β = 90.00° and γ = 120.00°. The asymmetric unit holds Sr at (0.0000, 0.5710, 0.0000), Li at (0.0000, 0.2227, 0.5000), Li at (0.3333, 0.6667, 0.5000) and Mg at (0.0000, 0.0000, 0.0000).

***

(5)
Computed, not measured: a relaxed structure of MgH2S at the PBE-GGA level of DFT.

Its electronic total energy is -2.5891 eV/atom. The polymorph energy (0 for the lowest one) is 1086 meV per atom. The value obtained for the density of states at the Fermi level is 1.81 states/eV/cell. The size of the total moment is 0.000 μB per formula unit.

It has space group R-3m (No. 166, hexagonal axes), with a = 3.1606 Å, b = 3.1606 Å, c = 17.7365 Å, α = 90.00°, β = 90.00° and γ = 120.00°. The asymmetric unit holds Mg at (0.0000, 0.0000, 0.0000), H at (0.0000, 0.0000, 0.1414) and S at (0.0000, 0.0000, 0.5000).

***

(6)
Computed, not measured: a relaxed structure of Pu3Mg2NbN6 at the PBE-GGA level of DFT.

Its electronic total energy is -9.9074 eV/atom. Its formation energy from raw total energies is -1.057 eV per atom. The value obtained for the density of states at the Fermi level is 34.82 states/eV/cell. The size of the total moment is 14.208 μB per formula unit.

It has space group C2/m (No. 12), with a = 5.809 Å, b = 10.061 Å, c = 5.643 Å, α = 90.00°, β = 109.85° and γ = 90.00°. The asymmetric unit holds Pu at (0.000, 0.000, 0.000), Pu at (0.000, 0.330, 0.000), Mg at (0.000, 0.166, 0.500), Nb at (0.000, 0.500, 0.500), N at (0.235, 0.500, 0.257) and N at (0.238, 0.342, 0.737).

***

(7)
Computed, not measured: a relaxed structure of HRu3Au at the PBE-GGA level of DFT.

Its electronic total energy is -6.5433 eV/atom. The polymorph energy (0 for the lowest one) is 0 meV per atom. The value obtained for the density of states at the Fermi level is 5.79 states/eV/cell. The size of the total moment is 1.616 μB per formula unit.

It has space group Pm-3m (No. 221), with a = 3.954 Å, b = 3.954 Å, c = 3.954 Å, α = 90.00°, β = 90.00° and γ = 90.00°. The asymmetric unit holds H at (0.000, 0.000, 0.000), Ru at (0.000, 0.000, 0.500) and Au at (0.500, 0.500, 0.500).

***

(8)
Computed, not measured: a relaxed structure of BaRhCl2 at the PBE-GGA level of DFT.

Its electronic total energy is -4.0284 eV/atom. Its formation energy from raw total energies is -0.787 eV per atom. The polymorph energy (0 for the lowest one) is 298 meV per atom. The value obtained for the density of states at the Fermi level is 7.47 states/eV/cell. The size of the total moment is 1.032 μB per formula unit.

It has space group I-4m2 (No. 119), with a = 4.265 Å, b = 4.265 Å, c = 11.195 Å, α = 90.00°, β = 90.00° and γ = 90.00°. The asymmetric unit holds Ba at (0.000, 0.000, 0.000), Rh at (0.000, 0.500, 0.250), Cl at (0.000, 0.000, 0.500) and Cl at (0.000, 0.500, 0.750).

***

(9)
Computed, not measured: a relaxed structure of MgNiCl at the PBE-GGA level of DFT.

Its electronic total energy is -2.8169 eV/atom. Its formation energy from raw total energies is 0.257 eV per atom. The polymorph energy (0 for the lowest one) is 548 meV per atom. The value obtained for the density of states at the Fermi level is 18.10 states/eV/cell. The size of the total moment is 0.583 μB per formula unit.

It has space group F-43m (No. 216), with a = 6.240 Å, b = 6.240 Å, c = 6.240 Å, α = 90.00°, β = 90.00° and γ = 90.00°. The asymmetric unit holds Mg at (0.000, 0.000, 0.000), Ni at (0.250, 0.250, 0.750) and Cl at (0.250, 0.250, 0.250).

***

(10)
Computed, not measured: a relaxed structure of Sr2ZrCo at the PBE-GGA level of DFT.

The formation energy comes out at 0.69 eV per atom. Its electronic total energy is -4.0683 eV/atom. The polymorph energy (0 for the lowest one) is 518 meV per atom. The value obtained for the density of states at the Fermi level is 9.22 states/eV/cell. The size of the total moment is 2.635 μB per formula unit.

It has space group P4/mmm (No. 123), with a = 3.467 Å, b = 3.467 Å, c = 9.554 Å, α = 90.00°, β = 90.00° and γ = 90.00°. The asymmetric unit holds Sr at (0.000, 0.000, 0.201), Zr at (0.500, 0.500, 0.500) and Co at (0.500, 0.500, 0.000).

***

(11)
Computed, not measured: a relaxed structure of MnAu2 at the PBE-GGA level of DFT.

The formation energy comes out at -0.02 eV per atom. Its electronic total energy is -5.2567 eV/atom. The polymorph energy (0 for the lowest one) is 87 meV per atom. The value obtained for the density of states at the Fermi level is 5.98 states/eV/cell. The size of the total moment is 4.165 μB per formula unit.

It has space group C2/m (No. 12), with a = 9.414 Å, b = 3.918 Å, c = 5.966 Å, α = 90.00°, β = 110.67° and γ = 90.00°. The asymmetric unit holds Mn at (0.167, 0.000, 0.101), Au at (0.012, 0.500, 0.770) and Au at (0.173, 0.000, 0.597).

***

(12)
Computed, not measured: a relaxed structure of IrRuCl2 at the PBE-GGA level of DFT.

Its electronic total energy is -5.0936 eV/atom. Its formation energy from raw total energies is 0.364 eV per atom. The polymorph energy (0 for the lowest one) is 318 meV per atom. The value obtained for the density of states at the Fermi level is 6.07 states/eV/cell. The size of the total moment is 0.088 μB per formula unit.

It has space group C2/m (No. 12), with a = 12.448 Å, b = 2.967 Å, c = 4.765 Å, α = 90.00°, β = 96.68° and γ = 90.00°. The asymmetric unit holds Ir at (0.000, 0.000, 0.000), Ru at (0.000, 0.500, 0.500) and Cl at (0.136, 0.000, 0.714).